(1)
The following is a DFT calculation (PBE) of a relaxed PrDyTmMg crystal.

The value obtained for the volume is 30.16 A^3/atom. The density comes out at 6.8 g/cm³. The distance to the lowest polymorph of the same formula is 48 meV per atom. The calculated formation energy comes out at 0.0246 eV/atom. The electronic total energy comes out at -3.8373 eV per atom.

Cell: 5.546 5.546 5.546 Å, 60.00 60.00 60.00°
Fractional coordinates of all 4 atoms:
Dy  0.250  0.250  0.250
Mg  0.000  0.000  0.000
Tm  0.500  0.500  0.500
Pr  0.750  0.750  0.750

=====

(2)
The following is a DFT calculation (PBE) of a relaxed KTi crystal.

The value obtained for the volume is 41.07 A^3/atom. The density comes out at 1.8 g/cm³. The distance to the lowest polymorph of the same formula is 396 meV per atom. The calculated formation energy comes out at 1.0827 eV/atom. The electronic total energy comes out at -3.4135 eV per atom.

Cell: 13.855 13.855 2.965 Å, 90.00 90.00 120.00°
Fractional coordinates of all 12 atoms:
Ti  0.429  0.507  0.750
K  0.778  0.125  0.250
Ti  0.078  0.571  0.750
K  0.125  0.346  0.750
K  0.875  0.654  0.250
K  0.654  0.778  0.750
K  0.346  0.222  0.250
Ti  0.507  0.078  0.250
Ti  0.571  0.493  0.250
Ti  0.493  0.922  0.750
K  0.222  0.875  0.750
Ti  0.922  0.429  0.250